Entry 1:
Material: Sr2TcBr
Method: DFT, PBE
State: optimized geometry Values from VASP.

Properties
Space group ... F-43m, No. 216
Excess energy over the best structure of this formula in the dataset ... 0.749 eV/atom
Density ... 5.017 g/cm3
ΔE_f (raw) ... 0.5809 eV/atom

Structure (Quantum ESPRESSO input):
```
&SYSTEM
  ibrav = 0, nat = 4, ntyp = 3
/
ATOMIC_SPECIES
Sr 87.62 Sr.upf
Tc 98.00 Tc.upf
Br 79.90 Br.upf
CELL_PARAMETERS angstrom
-2.770 -4.558 1.294
-0.791 -3.897 -3.782
2.641 -4.794 0.406
ATOMIC_POSITIONS angstrom
Sr 0.000 0.000 0.000
Sr -0.230 -3.312 -0.521
Tc -0.690 -9.937 -1.562
Br -0.460 -6.625 -1.041
```



Entry 2:
Material: Nb5V
Method: DFT, PBE
State: optimized geometry Values from VASP.

Properties
ΔE_f ... 0.02 eV/atom
Space group ... C2/m, No. 12
Excess energy over the best structure of this formula in the dataset ... 0.000 eV/atom
Density ... 8.129 g/cm3

Structure (Quantum ESPRESSO input):
```
&SYSTEM
  ibrav = 0, nat = 6, ntyp = 2
/
ATOMIC_SPECIES
Nb 92.91 Nb.upf
V 50.94 V.upf
CELL_PARAMETERS angstrom
-1.058 0.460 -3.063
-2.540 -4.374 1.969
-3.385 5.241 1.956
ATOMIC_POSITIONS angstrom
Nb -3.994 0.676 1.481
Nb -2.272 0.529 -0.885
Nb -4.014 3.200 0.118
Nb -4.932 -1.354 -0.249
Nb -2.252 -1.995 0.478
V -6.624 1.266 0.729
```



Entry 3:
Material: SmErGa
Method: DFT, PBE
State: optimized geometry Values from VASP.

Properties
ΔE_f ... -0.28 eV/atom
Space group ... P3m1, No. 156
Excess energy over the best structure of this formula in the dataset ... 0.132 eV/atom
Density ... 8.076 g/cm3

Structure (Quantum ESPRESSO input):
```
&SYSTEM
  ibrav = 0, nat = 3, ntyp = 3
/
ATOMIC_SPECIES
Ga 69.72 Ga.upf
Sm 150.36 Sm.upf
Er 167.26 Er.upf
CELL_PARAMETERS angstrom
3.699 0.000 0.000
0.000 4.986 0.000
0.000 -2.493 4.318
ATOMIC_POSITIONS angstrom
Ga 1.040 0.000 2.879
Sm 2.320 2.493 1.439
Er 0.339 0.000 0.000
```



Entry 4:
Material: NaHoTlZn
Method: DFT, PBE
State: optimized geometry Values from VASP.

Properties
ΔE_f ... -0.14 eV/atom
Space group ... F-43m, No. 216
Density ... 7.896 g/cm3

Structure (Quantum ESPRESSO input):
```
&SYSTEM
  ibrav = 0, nat = 4, ntyp = 4
/
ATOMIC_SPECIES
Zn 65.41 Zn.upf
Tl 204.38 Tl.upf
Ho 164.93 Ho.upf
Na 22.99 Na.upf
CELL_PARAMETERS angstrom
-1.285 3.590 3.453
-4.444 -0.372 2.564
0.013 -1.135 5.017
ATOMIC_POSITIONS angstrom
Zn 0.000 0.000 0.000
Tl -2.858 1.042 5.517
Ho -4.288 1.563 8.276
Na -1.429 0.521 2.759
```